A relaxed structure of PrNpIrRu. Source: the Alexandria database, functional PBE.

POSCAR file:
```
PrNpIrRu
1.0
6.9459 0.0000 0.0000
0.0000 6.9459 0.0000
0.0000 0.0000 6.9459
Pr Np Ir Ru
4 4 4 4
direct
0.0000 0.0000 0.0000
0.0000 0.5000 0.5000
0.5000 0.0000 0.5000
0.5000 0.5000 0.0000
0.0000 0.0000 0.5000
0.0000 0.5000 0.0000
0.5000 0.0000 0.0000
0.5000 0.5000 0.5000
0.2500 0.2500 0.2500
0.2500 0.7500 0.7500
0.7500 0.2500 0.7500
0.7500 0.7500 0.2500
0.2500 0.2500 0.7500
0.2500 0.7500 0.2500
0.7500 0.2500 0.2500
0.7500 0.7500 0.7500
```

Results
* space group: F-43m
* DOS(E_F): 25.00 states/eV per cell
* total energy: -9.09 eV/atom
* crystal system: cubic
* calculated formation energy: -0.1228 eV per atom

***

A relaxed structure of Sc2IrN. Source: the Alexandria database, functional PBE.

POSCAR file:
```
Sc2IrN
1.0
6.1054 0.0000 0.0000
0.0000 6.1054 0.0000
0.0000 0.0000 7.3203
Sc Ir N
8 4 4
direct
0.1774 0.2500 0.1250
0.2500 0.6774 0.3750
0.2500 0.8226 0.8750
0.3226 0.2500 0.6250
0.6774 0.7500 0.6250
0.7500 0.1774 0.8750
0.7500 0.3226 0.3750
0.8226 0.7500 0.1250
0.0000 0.0000 0.5000
0.0000 0.5000 0.7500
0.5000 0.0000 0.2500
0.5000 0.5000 0.0000
0.0000 0.0000 0.0000
0.0000 0.5000 0.2500
0.5000 0.0000 0.7500
0.5000 0.5000 0.5000
```

Results
* uncorrected formation energy: -839.7 meV/atom
* space group: I-42d
* DOS(E_F): 0.00 states/eV per cell
* total energy: -8.30 eV/atom
* crystal system: tetragonal

***

A relaxed structure of Pu8PIr5. Source: the Alexandria database, functional PBE.

POSCAR file:
```
Pu8PIr5
1.0
-4.2797 4.2797 4.2164
4.2797 -4.2797 4.2164
4.2797 4.2797 -4.2164
Pu P Ir
8 1 5
direct
0.1222 0.3742 0.1106
0.1286 0.3830 0.6171
0.2636 0.0116 0.8894
0.4884 0.8714 0.2544
0.6170 0.2340 0.7456
0.6258 0.7364 0.7480
0.7660 0.5116 0.3829
0.9884 0.8778 0.2520
0.2500 0.7500 0.5000
0.9996 0.6268 0.8778
0.3732 0.2511 0.3729
0.5000 0.5000 0.0000
0.7489 0.1218 0.1222
0.8782 0.0004 0.6271
```

Results
* space group: I-4
* DOS(E_F): 52.52 states/eV per cell
* total energy: -12.27 eV/atom
* crystal system: tetragonal
* calculated formation energy: -0.5256 eV per atom

***

A relaxed structure of Rb2SnCl5. Source: the Alexandria database, functional PBE.

POSCAR file:
```
Rb2SnCl5
1.0
7.7709 0.0000 0.0000
0.0000 7.7709 0.0000
0.0000 0.0000 9.3880
Rb Sn Cl
4 2 10
direct
0.0000 0.5000 0.0000
0.0000 0.5000 0.5000
0.5000 0.0000 0.0000
0.5000 0.0000 0.5000
0.0000 0.0000 0.2395
0.5000 0.5000 0.7395
0.0000 0.0000 0.9825
0.2364 0.2364 0.2567
0.2364 0.7636 0.2567
0.2636 0.2636 0.7567
0.2636 0.7364 0.7567
0.5000 0.5000 0.4825
0.7364 0.2636 0.7567
0.7364 0.7364 0.7567
0.7636 0.2364 0.2567
0.7636 0.7636 0.2567
```

Results
* uncorrected formation energy: -1426.2 meV/atom
* space group: I4mm
* DOS(E_F): 5.15 states/eV per cell
* total energy: -3.32 eV/atom
* crystal system: tetragonal

***

A relaxed structure of K2MgBeP2. Source: the Alexandria database, functional PBE.

POSCAR file:
```
K2MgBeP2
1.0
-2.9809 7.6141 2.9858
2.9809 -7.6141 2.9858
2.9809 7.6141 -2.9858
K Mg Be P
4 2 2 4
direct
0.1743 0.2499 0.4242
0.3257 0.7499 0.0755
0.6743 0.2501 0.9245
0.8257 0.7501 0.5758
0.2500 0.2500 0.0000
0.7500 0.7500 0.0000
0.2500 0.7500 0.5000
0.7500 0.2500 0.5000
0.0840 0.7172 0.8012
0.4160 0.2172 0.6332
0.5840 0.7828 0.3668
0.9160 0.2828 0.1988
```

Results
* space group: Ibam
* DOS(E_F): 0.00 states/eV per cell
* total energy: -3.54 eV/atom
* crystal system: orthorhombic
* calculated formation energy: -0.4808 eV per atom

***

A relaxed structure of Pm4Si2N. Source: the Alexandria database, functional PBE.

POSCAR file:
```
Pm4Si2N
1.0
7.3185 0.0000 0.0000
0.0000 11.8286 0.0000
0.0000 0.0000 4.0955
Pm Si N
8 4 2
direct
0.1182 0.1927 0.0000
0.2236 0.9483 0.5000
0.2764 0.4483 0.5000
0.3818 0.6927 0.0000
0.6182 0.3073 0.0000
0.7236 0.5517 0.5000
0.7764 0.0517 0.5000
0.8818 0.8073 0.0000
0.0929 0.6823 0.5000
0.4071 0.1823 0.5000
0.5929 0.8177 0.5000
0.9071 0.3177 0.5000
0.0000 0.0000 0.0000
0.5000 0.5000 0.0000
```

Results
* uncorrected formation energy: -681.7 meV/atom
* space group: Pbam
* DOS(E_F): 9.82 states/eV per cell
* total energy: -6.14 eV/atom
* crystal system: orthorhombic